(1)
ZrC: single point on PBEsol structure, meta-GGA SCAN.

Output
ΔH_f (0 K)   -0.3741 eV/atom
Excess energy over the best structure of this formula in the dataset   618 meV per atom
Space group   F-43m
Size of the total moment   0.00 μB/atom
Final energy   -20.773 eV per atom

Cell: 3.5701 3.5701 3.5701 Å, 60.00 60.00 60.00°
Atoms (fractional coordinates):
C 0.7500 0.7500 0.7500
Zr 0.0000 0.0000 0.0000

***

(2)
CrCdSb: single point on PBEsol structure, meta-GGA SCAN.

Output
ΔE_f (raw)   8 meV per atom
Space group   F-43m
Size of the total moment   1.27 μB/atom
Final energy   -28.678 eV per atom

Cell: 4.5284 4.5284 4.5284 Å, 60.00 60.00 60.00°
Site moments in Bohr magnetons follow the coordinates.
Atoms (fractional coordinates):
Cd 0.5000 0.5000 0.5000  0.01
Cr 0.2500 0.2500 0.2500  3.65
Sb 0.0000 0.0000 0.0000  -0.13

***

(3)
BOsS3: single point on PBEsol structure, meta-GGA SCAN.

Output
ΔE_f (raw)   1410 meV per atom
Space group   Pm-3m
Size of the total moment   0.00 μB/atom
Final energy   -20.229 eV per atom

Cell: 4.5647 4.5647 4.5647 Å, 90.00 90.00 90.00°
Atoms (fractional coordinates):
S 0.0000 0.5000 0.0000
S 0.0000 0.0000 0.5000
S 0.5000 0.0000 0.0000
B 0.5000 0.5000 0.5000
Os 0.0000 0.0000 0.0000

***

(4)
La2Ir: single point on PBEsol structure, meta-GGA SCAN.

Output
ΔH_f (0 K)   -0.7510 eV/atom
Space group   P-3m1
Size of the total moment   0.00 μB/atom
Final energy   -53.187 eV per atom

Cell: 4.1986 4.1986 6.4783 Å, 90.00 90.00 120.00°
Atoms (fractional coordinates):
Ir 0.0000 0.0000 0.0000
La 0.6667 0.3333 0.7727
La 0.3333 0.6667 0.2273

***

(5)
Zn2FeIr: single point on PBEsol structure, meta-GGA SCAN.

Output
ΔH_f (0 K)   -0.1729 eV/atom
Space group   I-4m2
Size of the total moment   0.79 μB/atom
Final energy   -29.238 eV per atom

Cell: 3.8565 3.8565 4.4323 Å, 115.79 115.79 90.00°
Site moments in Bohr magnetons follow the coordinates.
Atoms (fractional coordinates):
Zn 0.0000 0.0000 0.0000  -0.04
Zn 0.7500 0.2500 0.5000  -0.05
Ir 0.2500 0.7500 0.5000  0.30
Fe 0.5000 0.5000 0.0000  2.99

***

(6)
CuTeO4: single point on PBEsol structure, meta-GGA SCAN.

Output
ΔE_f (raw)   -828 meV per atom
Space group   Imma
Size of the total moment   0.16 μB/atom
Final energy   -13.724 eV per atom

Cell: 5.6067 6.3072 5.9571 Å, 118.18 90.00 116.39°
Site moments in Bohr magnetons follow the coordinates.
Atoms (fractional coordinates):
Cu 0.5000 0.5000 0.0000  0.67
Cu 0.0000 0.5000 0.0000  0.67
Te 0.5000 0.0000 0.5000  0.00
Te 0.5000 0.0000 0.0000  0.00
O 0.2993 0.5985 0.2677  0.15
O 0.7460 0.0222 0.2611  0.00
O 0.2762 0.0222 0.2611  0.00
O 0.2993 0.5985 0.8309  0.15
O 0.7007 0.4015 0.1691  0.15
O 0.2540 0.9778 0.7389  0.00
O 0.7238 0.9778 0.7389  0.00
O 0.7007 0.4015 0.7323  0.15

***

Which value of final energy does entry 4 give? -53.187 eV per atom